# 1
VASP calculation (GGA-PBE) on a relaxed structure of Sr3RuO.

Cell: 5.022 5.022 5.022 Å, 90.00 90.00 90.00°
Positions (direct):
Ru 0.500 0.500 0.500
O 0.000 0.000 0.000
Sr 0.000 0.500 0.000
Sr 0.000 0.000 0.500
Sr 0.500 0.000 0.000

calculated volume: 126.7 Å³/cell
SG: Pm-3m
offset from the most stable computed form: 0.0 meV per atom


# 2
VASP calculation (GGA-PBE) on a relaxed structure of Sr3Ru2O7.

Cell: 10.805 10.805 5.589 Å, 90.00 90.00 150.04°
Positions (direct):
Sr 0.186 0.814 0.000
Sr 0.814 0.186 0.000
Sr 0.314 0.686 0.500
Sr 0.000 0.000 0.000
Sr 0.686 0.314 0.500
Sr 0.500 0.500 0.500
Ru 0.903 0.097 0.500
Ru 0.403 0.597 0.000
Ru 0.597 0.403 0.000
Ru 0.097 0.903 0.500
O 0.197 0.389 0.293
O 0.303 0.111 0.207
O 0.611 0.803 0.707
O 0.389 0.197 0.707
O 0.805 0.195 0.500
O 0.803 0.611 0.293
O 0.195 0.805 0.500
O 0.695 0.305 0.000
O 0.697 0.889 0.207
O 0.305 0.695 0.000
O 0.000 0.000 0.500
O 0.889 0.697 0.793
O 0.500 0.500 0.000
O 0.111 0.303 0.793

calculated volume: 325.9 Å³/cell
SG: Ccce
offset from the most stable computed form: 0.0 meV per atom


no.,E_form (uncorrected) (meV/atom),DOS at the Fermi energy (states/eV per cell)
1,-720,2.4
2,-1951,7.8